Material: Ba4Tl2Bi
Method: DFT, GGA-PBE
State: relaxed

Output
E_tot in eV for the cell shown: -36.69
ΔE_f in eV/atom: -0.29

Cell lengths 6.777, 6.777, 17.092 Å; angles 90.00, 90.00, 90.00 degrees
Space group I4/mmm (No. 139)
Symmetry-distinct sites (fractional):
Ba 0.000 0.000 0.199
Ba 0.000 0.500 0.000
Tl 0.000 0.000 0.404
Bi 0.000 0.000 0.000